Density functional theory data (PBE-GGA) for a geometry-optimized In2Si2Hg structure.

Cell lengths 7.398, 7.398, 4.122 Å; angles 90.00, 90.00, 90.00 degrees
Space group P4/mbm (No. 127)
One atom of each set of equivalent atoms:
In 0.185 0.315 0.000 [4 per cell]
Si 0.115 0.615 0.500 [4 per cell]
Hg 0.000 0.000 0.500 [2 per cell]

The electronic total energy comes out at -30.038 eV for the cell shown. Its uncorrected formation energy is 0.3211 eV/atom. Its energy above the most stable polymorph in this dataset is 125 meV/atom. The total moment is 0.00 μB/f.u.

***

Density functional theory data (PBE-GGA) for a geometry-optimized Cs2NaBr structure.

Cell lengths 4.9133, 4.9133, 38.8871 Å; angles 90.00, 90.00, 120.00 degrees
Space group R-3m (No. 166, hexagonal axes)
One atom of each set of equivalent atoms:
Cs 0.0000 0.0000 0.1077 [6 per cell]
Na 0.0000 0.0000 0.0000 [3 per cell]
Br 0.0000 0.0000 0.5000 [3 per cell]

The electronic total energy comes out at -23.097 eV for the cell shown. Its uncorrected formation energy is -0.7500 eV/atom. Its energy above the most stable polymorph in this dataset is 71 meV/atom. The total moment is 0.00 μB/f.u.

***

Density functional theory data (PBE-GGA) for a geometry-optimized TaMn3Ag3S8 structure.

Cell lengths 12.650, 6.940, 8.207 Å; angles 90.00, 126.77, 90.00 degrees
Space group C2/m (No. 12)
One atom of each set of equivalent atoms:
Ta 0.000 0.000 0.000 [2 per cell]
Mn 0.000 0.500 0.000 [2 per cell]
Mn 0.250 0.250 0.000 [4 per cell]
Ag 0.000 0.000 0.500 [2 per cell]
Ag 0.250 0.250 0.500 [4 per cell]
S 0.005 0.256 0.214 [8 per cell]
S 0.243 0.000 0.788 [4 per cell]
S 0.245 0.000 0.203 [4 per cell]

The electronic total energy comes out at -175.264 eV for the cell shown. Its uncorrected formation energy is -0.4465 eV/atom. The total moment is 12.28 μB/f.u.